(1)
The following is a DFT calculation (PBE-GGA) of an optimized crystal structure of Ac3La12Er.

abc: 5.327 5.327 21.236
angles: 90.00 90.00 90.00
Atoms (fractional coordinates):
Ac (0.000, 0.000, 0.753)
La (0.000, 0.500, 0.374)
Er (0.000, 0.000, 0.000)
La (0.500, 0.500, 0.245)
Ac (0.000, 0.000, 0.247)
La (0.500, 0.000, 0.626)
La (0.500, 0.000, 0.374)
La (0.500, 0.500, 0.000)
Ac (0.000, 0.000, 0.500)
La (0.500, 0.500, 0.755)
La (0.000, 0.500, 0.626)
La (0.500, 0.000, 0.880)
La (0.500, 0.000, 0.120)
La (0.000, 0.500, 0.120)
La (0.000, 0.500, 0.880)
La (0.500, 0.500, 0.500)

Properties
Formation energy from the elements: 0.01 eV/atom
DOS(E_F): 29.3 states/eV/cell
Calculated volume: 37.658 A^3/atom



(2)
The following is a DFT calculation (PBE-GGA) of an optimized crystal structure of AcLa8Er5.

abc: 8.734 8.726 8.734
angles: 112.18 104.27 112.13
Atoms (fractional coordinates):
Er (0.049, 0.319, 0.132)
La (0.712, 0.240, 0.312)
La (0.586, 0.932, 0.853)
La (0.528, 0.599, 0.288)
La (0.146, 0.732, 0.078)
Er (0.812, 0.681, 0.729)
Ac (0.251, 0.500, 0.751)
La (0.921, 0.068, 0.654)
La (0.071, 0.760, 0.472)
Er (0.500, 0.000, 0.500)
Er (0.271, 0.083, 0.951)
La (0.688, 0.401, 0.929)
La (0.347, 0.268, 0.414)
Er (0.868, 0.917, 0.188)

Properties
Formation energy from the elements: 0.23 eV/atom
DOS(E_F): 22.5 states/eV/cell
Calculated volume: 36.354 A^3/atom



(3)
The following is a DFT calculation (PBE-GGA) of an optimized crystal structure of Ac3La4Er2.

abc: 6.377 10.686 10.686
angles: 70.84 83.27 83.27
Atoms (fractional coordinates):
Ac (0.083, 0.950, 0.709)
La (0.465, 0.928, 0.182)
La (0.306, 0.507, 0.260)
La (0.806, 0.260, 0.507)
Ac (0.417, 0.291, 0.050)
Ac (0.917, 0.050, 0.291)
La (0.194, 0.740, 0.493)
Er (0.865, 0.411, 0.148)
La (0.035, 0.818, 0.072)
La (0.694, 0.493, 0.740)
Ac (0.750, 0.620, 0.380)
Er (0.365, 0.148, 0.411)
La (0.535, 0.072, 0.818)
Er (0.135, 0.589, 0.852)
Er (0.635, 0.852, 0.589)
Ac (0.250, 0.380, 0.620)
Ac (0.583, 0.709, 0.950)
La (0.965, 0.182, 0.928)

Properties
Formation energy from the elements: 0.10 eV/atom
DOS(E_F): 31.9 states/eV/cell
Calculated volume: 37.819 A^3/atom



(4)
The following is a DFT calculation (PBE-GGA) of an optimized crystal structure of Ac4La4Er3.

abc: 3.816 13.958 13.310
angles: 138.91 98.21 97.88
Atoms (fractional coordinates):
Ac (0.617, 0.218, 0.516)
Er (0.090, 0.871, 0.810)
Ac (0.851, 0.214, 0.988)
La (0.325, 0.523, 0.629)
Ac (0.149, 0.786, 0.012)
Er (0.000, 0.500, 0.000)
Er (0.910, 0.129, 0.190)
La (0.675, 0.477, 0.371)
La (0.177, 0.148, 0.704)
La (0.823, 0.852, 0.296)
Ac (0.383, 0.782, 0.484)

Properties
Formation energy from the elements: 0.14 eV/atom
DOS(E_F): 16.7 states/eV/cell
Calculated volume: 38.840 A^3/atom



(5)
The following is a DFT calculation (PBE-GGA) of an optimized crystal structure of Ac3La2Er3.

abc: 6.815 10.197 10.197
angles: 60.00 90.00 90.00
Atoms (fractional coordinates):
Ac (0.250, 0.233, 0.000)
Ac (0.250, 0.000, 0.767)
Ac (0.750, 0.000, 0.233)
Er (0.250, 0.413, 0.587)
Ac (0.750, 0.233, 0.767)
Er (0.750, 0.000, 0.587)
La (0.500, 0.333, 0.333)
Er (0.250, 0.587, 0.000)
Er (0.250, 0.000, 0.413)
La (0.000, 0.333, 0.333)
La (0.500, 0.667, 0.667)
Er (0.750, 0.413, 0.000)
La (0.000, 0.667, 0.667)
Ac (0.750, 0.767, 0.000)
Ac (0.250, 0.767, 0.233)
Er (0.750, 0.587, 0.413)

Properties
Formation energy from the elements: 0.19 eV/atom
DOS(E_F): 33.2 states/eV/cell
Calculated volume: 38.356 A^3/atom



(6)
The following is a DFT calculation (PBE-GGA) of an optimized crystal structure of Ac12La5Er.

abc: 11.898 11.815 6.290
angles: 90.00 90.00 59.77
Atoms (fractional coordinates):
Ac (0.362, 0.947, 0.000)
Ac (0.814, 0.049, 0.500)
Ac (0.146, 0.385, 0.500)
Ac (0.470, 0.385, 0.500)
Ac (0.029, 0.617, 0.000)
Er (0.029, 0.943, 0.000)
Ac (0.354, 0.617, 0.000)
Ac (0.479, 0.718, 0.500)
La (0.135, 0.731, 0.499)
Ac (0.803, 0.718, 0.500)
Ac (0.022, 0.280, 0.000)
La (0.697, 0.605, 0.999)
La (0.468, 0.063, 0.500)
Ac (0.690, 0.947, 0.000)
La (0.803, 0.393, 0.501)
La (0.364, 0.273, 0.000)
Ac (0.698, 0.279, 0.000)
Ac (0.136, 0.049, 0.500)

Properties
Formation energy from the elements: 0.04 eV/atom
DOS(E_F): 31.1 states/eV/cell
Calculated volume: 42.443 A^3/atom



(7)
The following is a DFT calculation (PBE-GGA) of an optimized crystal structure of AcLa7Er4.

abc: 7.417 6.461 11.772
angles: 79.47 50.80 89.89
Atoms (fractional coordinates):
La (0.083, 0.285, 0.662)
Ac (0.000, 0.000, 0.000)
La (0.917, 0.715, 0.338)
Er (0.405, 0.723, 0.335)
La (0.263, 0.502, 0.995)
Er (0.837, 0.784, 0.663)
La (0.500, 0.000, 0.000)
Er (0.163, 0.216, 0.337)
Er (0.595, 0.277, 0.665)
La (0.737, 0.498, 0.005)
La (0.662, 0.226, 0.338)
La (0.338, 0.774, 0.662)

Properties
Formation energy from the elements: 0.02 eV/atom
DOS(E_F): 18.6 states/eV/cell
Calculated volume: 35.416 A^3/atom



(8)
The following is a DFT calculation (PBE-GGA) of an optimized crystal structure of Ac7LaEr2.

abc: 6.169 9.664 9.664
angles: 63.49 90.00 90.00
Atoms (fractional coordinates):
Ac (0.500, 0.688, 0.059)
Er (0.500, 0.701, 0.701)
Ac (0.500, 0.312, 0.941)
Ac (0.500, 0.500, 0.500)
Er (0.500, 0.299, 0.299)
Ac (0.500, 0.941, 0.312)
Ac (0.000, 0.245, 0.245)
Ac (0.000, 0.755, 0.755)
Ac (0.500, 0.059, 0.688)
La (0.000, 0.000, 0.000)

Properties
Formation energy from the elements: 0.61 eV/atom
DOS(E_F): 14.4 states/eV/cell
Calculated volume: 51.553 A^3/atom



(9)
The following is a DFT calculation (PBE-GGA) of an optimized crystal structure of AcLa2Er.

abc: 3.765 3.765 12.396
angles: 81.26 81.26 60.00
Atoms (fractional coordinates):
La (0.255, 0.255, 0.236)
Er (0.667, 0.667, 0.999)
La (0.079, 0.079, 0.763)
Ac (0.499, 0.499, 0.502)

Properties
Formation energy from the elements: 0.05 eV/atom
DOS(E_F): 6.6 states/eV/cell
Distance to the lowest polymorph of the same formula: 0.62 kcal/mol of atoms
Calculated volume: 37.464 A^3/atom



(10)
The following is a DFT calculation (PBE-GGA) of an optimized crystal structure of AcLa4Er.

abc: 12.209 7.003 8.781
angles: 113.50 134.04 90.00
Atoms (fractional coordinates):
Ac (0.000, 0.000, 0.500)
La (0.376, 0.350, 0.201)
Ac (0.500, 0.000, 0.500)
La (0.175, 0.650, 0.799)
La (0.158, 0.631, 0.315)
La (0.158, 0.184, 0.315)
La (0.842, 0.816, 0.685)
Er (0.500, 0.500, 0.000)
La (0.825, 0.350, 0.201)
Er (0.500, 0.000, 0.000)
La (0.842, 0.369, 0.685)
La (0.624, 0.650, 0.799)

Properties
Formation energy from the elements: 0.19 eV/atom
DOS(E_F): 21.0 states/eV/cell
Distance to the lowest polymorph of the same formula: 3.79 kcal/mol of atoms
Calculated volume: 37.423 A^3/atom



(11)
The following is a DFT calculation (PBE-GGA) of an optimized crystal structure of Ac2La6Er5.

abc: 3.719 12.240 20.727
angles: 90.00 90.00 90.00
Atoms (fractional coordinates):
Er (0.500, 0.902, 0.780)
La (0.000, 0.571, 0.137)
La (0.000, 0.455, 0.576)
Ac (0.000, 0.338, 0.280)
Er (0.500, 0.500, 0.000)
La (0.000, 0.429, 0.863)
La (0.000, 0.929, 0.637)
Er (0.500, 0.598, 0.280)
La (0.500, 0.815, 0.383)
La (0.500, 0.315, 0.117)
La (0.500, 0.685, 0.883)
La (0.000, 0.071, 0.363)
Ac (0.000, 0.162, 0.780)
Er (0.500, 0.789, 0.055)
Er (0.500, 0.211, 0.945)
Ac (0.000, 0.662, 0.720)
La (0.000, 0.955, 0.924)
La (0.000, 0.545, 0.424)
Er (0.500, 0.098, 0.220)
Er (0.500, 0.402, 0.720)
Ac (0.000, 0.838, 0.220)
La (0.000, 0.045, 0.076)
La (0.500, 0.185, 0.617)
Er (0.500, 0.711, 0.555)
Er (0.500, 0.000, 0.500)
Er (0.500, 0.289, 0.445)

Properties
Formation energy from the elements: 0.12 eV/atom
DOS(E_F): 38.8 states/eV/cell
Calculated volume: 36.291 A^3/atom



(12)
The following is a DFT calculation (PBE-GGA) of an optimized crystal structure of Ac6La2Er3.

abc: 6.625 6.598 12.205
angles: 85.13 80.27 59.86
Atoms (fractional coordinates):
La (0.171, 0.658, 0.500)
Ac (0.589, 0.333, 0.244)
Er (0.665, 0.669, 0.000)
La (0.829, 0.342, 0.500)
Er (0.335, 0.331, 0.000)
Ac (0.922, 0.667, 0.244)
Ac (0.078, 0.333, 0.756)
Ac (0.743, 0.000, 0.751)
Ac (0.411, 0.667, 0.756)
Ac (0.257, 0.000, 0.249)
Er (0.000, 0.000, 0.000)

Properties
Formation energy from the elements: 0.19 eV/atom
DOS(E_F): 14.6 states/eV/cell
Calculated volume: 41.347 A^3/atom